[1]
First-principles (PBE-GGA) data for a geometry-optimized Sr2HgBi2 structure, as listed in Alexandria via LeMat-Bulk.

```
Sr2HgBi2
1.0
-4.691 2.419 3.772
-0.470 -5.696 3.069
0.859 -0.136 6.734
Sr Hg Bi
2 1 2
direct
0.250 0.750 0.500
0.750 0.250 0.500
0.000 0.000 0.000
0.656 0.656 0.689
0.344 0.344 0.311
```

***

[2]
First-principles (PBE-GGA) data for a geometry-optimized Sr3Hg6Bi5 structure, as listed in Alexandria via LeMat-Bulk.

```
Sr3Hg6Bi5
1.0
-4.188 -2.743 1.794
6.463 -7.784 3.185
1.455 6.943 14.015
Sr Hg Bi
6 12 10
direct
0.000 0.248 0.694
0.500 0.752 0.194
0.500 0.803 0.500
0.000 0.248 0.306
0.000 0.197 0.000
0.500 0.752 0.806
0.500 0.419 0.805
0.000 0.968 0.161
0.500 0.032 0.339
0.500 0.032 0.661
0.000 0.412 0.500
0.000 0.581 0.305
0.500 0.944 0.000
0.000 0.581 0.695
0.500 0.419 0.195
0.500 0.588 0.000
0.000 0.056 0.500
0.000 0.968 0.839
0.500 0.493 0.610
0.500 0.141 0.155
0.500 0.215 0.500
0.500 0.493 0.390
0.000 0.859 0.345
0.000 0.859 0.655
0.500 0.141 0.845
0.000 0.507 0.110
0.000 0.507 0.890
0.000 0.785 0.000
```

***

[3]
First-principles (PBE-GGA) data for a geometry-optimized Sr2Hg2Bi structure, as listed in Alexandria via LeMat-Bulk.

```
Sr2Hg2Bi
1.0
4.280 0.000 0.000
0.000 4.280 0.000
2.140 2.140 9.493
Hg Bi Sr
2 1 2
direct
0.750 0.250 0.500
0.250 0.750 0.500
0.000 0.000 0.000
0.601 0.601 0.797
0.399 0.399 0.203
```

***

[4]
First-principles (PBE-GGA) data for a geometry-optimized SrHgBi structure, as listed in Alexandria via LeMat-Bulk.

```
SrHgBi
1.0
-1.076 1.667 4.244
0.200 -4.620 1.865
4.100 2.838 -0.075
Bi Hg Sr
1 1 1
direct
0.262 0.333 0.667
0.040 0.000 0.000
0.698 0.667 0.333
```

***

The evaluated formation energy from the elements for the records listed, in turn: -0.477 -0.346 -0.500 -0.525 eV/atom.
The evaluated raw total energy for the records listed, in turn: -13.81 -31.10 -10.35 -7.44 eV/f.u..
The evaluated mass density for the records listed, in turn: 6.3 9.4 7.5 8.2 Mg/m³.